{"formula": "ReSb2Br", "functional": "GGA-PBEsol", "state": "optimized geometry", "m_tot_mub_per_fu": 0.0, "crystal_system": "trigonal", "relative_energy_ev_per_atom": 0.000, "total_energy_ev_per_cell": -23.55, "lattice_angstrom": [[1.720, 0.993, 8.607], [-1.720, 0.993, 8.607], [0.000, -1.986, 8.607]], "species": ["Re", "Sb", "Sb", "Br"], "fractional_positions": [[0.000, 0.000, 0.000], [0.261, 0.261, 0.261], [0.739, 0.739, 0.739], [0.500, 0.500, 0.500]]}